(1)
Compound: Na4Cd3Hg5
Source: Alexandria via LeMat-Bulk
Functional: GGA-PBE
Structure: relaxed

Cell lengths 5.527, 8.127, 9.462 Å; angles 110.75, 73.02, 70.12 degrees
Positions (direct):
Na  0.829  0.271  0.072
Na  0.212  0.960  0.615
Na  0.788  0.040  0.385
Na  0.171  0.729  0.928
Cd  0.351  0.114  0.183
Cd  0.000  0.500  0.500
Cd  0.649  0.886  0.817
Hg  0.481  0.251  0.788
Hg  0.500  0.500  0.500
Hg  0.134  0.545  0.187
Hg  0.866  0.455  0.813
Hg  0.519  0.749  0.212

Properties
As for the calculated total energy: -0.921 eV/atom.



(2)
Compound: NaSr5Tl6
Source: Alexandria via LeMat-Bulk
Functional: GGA-PBE
Structure: relaxed

Cell lengths 5.733, 9.949, 9.949 Å; angles 120.01, 106.79, 106.79 degrees
Positions (direct):
Na  0.000  0.000  0.000
Tl  0.240  0.078  0.403
Tl  0.760  0.597  0.922
Tl  0.732  0.232  0.232
Tl  0.268  0.768  0.768
Tl  0.240  0.403  0.078
Tl  0.760  0.922  0.597
Sr  0.500  0.167  0.833
Sr  0.000  0.335  0.665
Sr  0.500  0.500  0.500
Sr  0.000  0.665  0.335
Sr  0.500  0.833  0.167

Properties
As for the calculated total energy: -2.364 eV/atom.



(3)
Compound: NaPt
Source: Alexandria via LeMat-Bulk
Functional: GGA-PBE
Structure: relaxed

Cell lengths 5.280, 7.926, 7.125 Å; angles 90.00, 90.00, 90.00 degrees
Positions (direct):
Na  0.287  0.756  0.129
Na  0.787  0.744  0.871
Na  0.713  0.256  0.371
Na  0.213  0.244  0.629
Na  0.219  0.551  0.807
Na  0.719  0.949  0.193
Na  0.781  0.051  0.693
Na  0.281  0.449  0.307
Pt  0.454  0.220  0.983
Pt  0.954  0.280  0.017
Pt  0.546  0.720  0.517
Pt  0.046  0.780  0.483
Pt  0.300  0.923  0.775
Pt  0.800  0.577  0.225
Pt  0.700  0.423  0.725
Pt  0.200  0.077  0.275

Properties
As for the calculated total energy: -3.740 eV/atom.



(4)
Compound: VGa2Si
Source: Alexandria via LeMat-Bulk
Functional: GGA-PBE
Structure: relaxed

Cell lengths 4.503, 4.503, 4.503 Å; angles 60.00, 60.00, 60.00 degrees
Last column: magnetic moment on the atom in μB.
Positions (direct):
Si  0.000  0.000  0.000  -0.02
Ga  0.250  0.250  0.250  0.01
Ga  0.750  0.750  0.750  0.01
V  0.500  0.500  0.500  2.35

Properties
Its formation energy (no corrections) is 1.46 eV/f.u. As for the distance to the lowest polymorph of the same formula: 0.059 eV/atom.



(5)
Compound: Cs2MnInS4
Source: Alexandria via LeMat-Bulk
Functional: GGA-PBE
Structure: relaxed

Cell lengths 6.254, 7.425, 13.255 Å; angles 84.30, 76.35, 65.09 degrees
Last column: magnetic moment on the atom in μB.
Positions (direct):
Cs  0.178  0.000  0.645  0.00
Cs  0.822  0.000  0.355  0.00
Cs  0.572  0.500  0.855  0.00
Cs  0.928  0.500  0.145  0.00
Mn  0.250  0.500  0.500  3.51
Mn  0.500  0.000  0.000  3.51
In  0.750  0.500  0.500  0.03
In  0.000  0.000  0.000  0.03
S  0.297  0.834  0.111  0.01
S  0.242  0.166  0.889  0.01
S  0.869  0.834  0.889  0.01
S  0.592  0.166  0.111  0.01
S  0.453  0.666  0.389  0.01
S  0.508  0.334  0.611  0.01
S  0.881  0.666  0.611  0.01
S  0.158  0.334  0.389  0.01

Properties
Its formation energy (no corrections) is -6.83 eV/f.u.



(6)
Compound: Ba4PaTi3O12
Source: Alexandria via LeMat-Bulk
Functional: GGA-PBE
Structure: relaxed

Cell lengths 7.186, 7.186, 7.186 Å; angles 109.47, 109.47, 109.47 degrees
Last column: magnetic moment on the atom in μB.
Positions (direct):
Ba  0.500  0.500  0.500  0.00
Ba  0.000  0.000  0.500  0.00
Ba  0.500  0.000  0.000  0.00
Ba  0.000  0.500  0.000  0.00
Pa  0.000  0.000  0.000  0.07
Ti  0.500  0.000  0.500  0.28
Ti  0.500  0.500  0.000  0.28
Ti  0.000  0.500  0.500  0.28
O  0.250  0.500  0.750  -0.01
O  0.740  0.000  0.740  -0.01
O  0.260  0.000  0.260  -0.01
O  0.750  0.500  0.250  -0.01
O  0.740  0.740  0.000  -0.01
O  0.260  0.260  0.000  -0.01
O  0.750  0.250  0.500  -0.01
O  0.250  0.750  0.500  -0.01
O  0.500  0.250  0.750  -0.01
O  0.000  0.740  0.740  -0.01
O  0.500  0.750  0.250  -0.01
O  0.000  0.260  0.260  -0.01

Properties
Its formation energy (no corrections) is -61.96 eV/f.u.



(7)
Compound: CeNbO4
Source: Alexandria via LeMat-Bulk
Functional: GGA-PBE
Structure: relaxed

Cell lengths 6.901, 6.901, 6.901 Å; angles 134.01, 134.01, 67.07 degrees
Last column: magnetic moment on the atom in μB.
Positions (direct):
Ce  0.750  0.250  0.500  0.88
Ce  0.000  0.000  0.000  0.88
Nb  0.250  0.750  0.500  0.10
Nb  0.500  0.500  0.000  0.10
O  0.585  0.668  0.579  -0.01
O  0.757  0.835  0.417  -0.01
O  0.993  0.415  0.083  -0.01
O  0.418  0.339  0.583  -0.01
O  0.332  0.911  0.917  -0.01
O  0.165  0.582  0.921  -0.01
O  0.089  0.007  0.421  -0.01
O  0.661  0.243  0.079  -0.01

Properties
Its formation energy (no corrections) is -18.01 eV/f.u.



(8)
Compound: Na3SiB
Source: Alexandria via LeMat-Bulk
Functional: GGA-PBE
Structure: relaxed

Cell lengths 5.059, 5.059, 5.059 Å; angles 90.00, 90.00, 90.00 degrees
Last column: magnetic moment on the atom in μB.
Positions (direct):
Na  0.000  0.500  0.000  0.03
Na  0.000  0.000  0.500  0.04
Na  0.500  0.000  0.000  0.03
Si  0.500  0.500  0.500  -0.44
B  0.000  0.000  0.000  0.60

Properties
Its formation energy (no corrections) is 5.16 eV/f.u. As for the distance to the lowest polymorph of the same formula: 0.000 eV/atom.



(9)
Compound: Ce2YCu2Si2
Source: Alexandria via LeMat-Bulk
Functional: GGA-PBE
Structure: relaxed

Cell lengths 4.157, 4.157, 9.385 Å; angles 77.21, 77.21, 60.00 degrees
Last column: magnetic moment on the atom in μB.
Positions (direct):
Ce  0.140  0.140  0.581  0.57
Ce  0.860  0.860  0.419  0.57
Y  0.000  0.000  0.000  0.00
Cu  0.597  0.597  0.209  0.00
Cu  0.403  0.403  0.791  0.00
Si  0.737  0.737  0.790  0.00
Si  0.263  0.263  0.210  0.00

Properties
Its formation energy (no corrections) is -3.57 eV/f.u.



(10)
Compound: Na3CaB
Source: Alexandria via LeMat-Bulk
Functional: GGA-PBE
Structure: relaxed

Cell lengths 6.425, 6.425, 6.425 Å; angles 90.00, 90.00, 90.00 degrees
Last column: magnetic moment on the atom in μB.
Positions (direct):
Na  0.000  0.500  0.000  -0.01
Na  0.000  0.000  0.500  -0.01
Na  0.500  0.000  0.000  -0.02
Ca  0.000  0.000  0.000  -0.01
B  0.500  0.500  0.500  0.29

Properties
As for the distance to the lowest polymorph of the same formula: 0.887 eV/atom.



(11)
Compound: In2Hg
Source: Alexandria via LeMat-Bulk
Functional: GGA-PBE
Structure: relaxed

Cell lengths 4.901, 4.901, 3.942 Å; angles 90.00, 90.00, 120.00 degrees
Positions (direct):
Hg  0.000  0.000  0.000
In  0.333  0.667  0.695
In  0.667  0.333  0.305

Properties
As for the distance to the lowest polymorph of the same formula: 0.019 eV/atom.



(12)
Compound: Ba2ReAs
Source: Alexandria via LeMat-Bulk
Functional: GGA-PBE
Structure: relaxed

Cell lengths 5.389, 5.389, 5.389 Å; angles 60.00, 60.00, 60.00 degrees
Last column: magnetic moment on the atom in μB.
Positions (direct):
Re  0.750  0.750  0.750  1.80
As  0.500  0.500  0.500  -0.01
Ba  0.000  0.000  0.000  0.13
Ba  0.250  0.250  0.250  -0.02

Properties
As for the calculated total energy: -4.479 eV/atom.



no.,total moment (μB/cell),N(E_F) (states/eV per cell),theoretical density (g cm⁻³)
1,0.000,4.342,7.2
2,0.000,7.155,7.0
3,0.000,8.197,9.7
4,2.773,3.148,5.6
5,8.000,1.855,3.5
6,0.924,5.169,6.5
7,2.030,14.813,5.9
8,0.027,0.721,1.4
9,1.294,8.554,6.8
10,0.667,6.769,0.8
11,0.000,0.778,8.7
12,2.344,3.457,8.0